(1)
4
Lattice="0.0000 3.0053 3.0053 3.0053 0.0000 3.0053 3.0053 3.0053 0.0000" Properties=species:S:1:pos:R:3 comment="TiCuNiPd | Alexandria | PBE-GGA | relaxed" relative_energy_kj_per_mol_fu=35 dos_at_fermi_per_ev_cell=3.38 pbc="T T T"
Ti 0.0000 0.0000 0.0000
Cu 3.0053 3.0053 3.0053
Ni 4.5080 4.5080 4.5080
Pd 1.5027 1.5027 1.5027

=====

(2)
5
Lattice="4.9353 0.0000 0.0000 0.0000 4.9353 0.0000 0.0000 0.0000 4.7808" Properties=species:S:1:pos:R:3 comment="Tl2CuNiPd | Alexandria | PBE-GGA | relaxed" dos_at_fermi_per_ev_cell=3.70 pbc="T T T"
Tl 0.0000 2.4677 0.0000
Tl 2.4677 0.0000 0.0000
Cu 0.0000 0.0000 2.3904
Ni 2.4677 2.4677 0.0000
Pd 2.4677 2.4677 2.3904

=====

(3)
18
Lattice="-3.0944 3.0944 7.0154 3.0944 -3.0944 7.0154 3.0944 3.0944 -7.0154" Properties=species:S:1:pos:R:3 comment="ZnCu2NiPd5 | Alexandria | PBE-GGA | relaxed" dos_at_fermi_per_ev_cell=14.75 pbc="T T T"
Zn 0.0000 0.0000 3.5077
Zn 0.0000 0.0000 10.5231
Cu 3.8598 0.7655 0.0000
Cu 0.7655 2.3289 0.0000
Cu 2.3289 0.7655 7.0154
Cu -0.7655 2.3289 7.0154
Ni 3.0944 0.0000 3.5077
Ni 0.0000 3.0944 3.5077
Pd 0.0000 0.0000 0.0000
Pd 1.7079 1.3864 -2.0430
Pd 1.7079 -1.3864 4.9724
Pd 1.7079 1.3864 2.0430
Pd 1.7079 -1.3864 9.0584
Pd 0.0000 0.0000 7.0154
Pd 1.3864 4.4808 -2.0430
Pd 1.3864 1.7079 4.9724
Pd 1.3864 4.4808 2.0430
Pd 1.3864 1.7079 9.0584

=====

(4)
4
Lattice="-1.9420 1.9420 3.4396 1.9420 -1.9420 3.4396 1.9420 1.9420 -3.4396" Properties=species:S:1:pos:R:3 comment="ZnCuNiPd | Alexandria | PBE-GGA | relaxed" dos_at_fermi_per_ev_cell=1.44 pbc="T T T"
Zn 0.0000 0.0000 0.0000
Cu 0.0000 0.0000 3.4396
Ni 0.0000 1.9420 1.7198
Pd 1.9420 0.0000 1.7198

=====

(5)
4
Lattice="0.0000 2.9584 2.9584 2.9584 0.0000 2.9584 2.9584 2.9584 0.0000" Properties=species:S:1:pos:R:3 comment="ZnCuNiPd | Alexandria | PBE-GGA | relaxed" dos_at_fermi_per_ev_cell=0.47 pbc="T T T"
Zn 0.0000 0.0000 0.0000
Cu 2.9584 2.9584 2.9584
Ni 4.4377 4.4377 4.4377
Pd 1.4792 1.4792 1.4792

=====

(6)
5
Lattice="4.2850 0.0000 0.0000 0.0000 4.2850 0.0000 0.0000 0.0000 4.5547" Properties=species:S:1:pos:R:3 comment="ZrCuNi2Pd | Alexandria | PBE-GGA | relaxed" dos_at_fermi_per_ev_cell=9.50 pbc="T T T"
Zr 0.0000 0.0000 0.0000
Cu 2.1425 2.1425 2.2774
Ni 0.0000 2.1425 2.2774
Ni 2.1425 0.0000 2.2774
Pd 2.1425 2.1425 0.0000

=====

(7)
5
Lattice="4.8089 0.0000 0.0000 0.0000 4.8089 0.0000 0.0000 0.0000 4.5017" Properties=species:S:1:pos:R:3 comment="Zr2CuNiPd | Alexandria | PBE-GGA | relaxed" dos_at_fermi_per_ev_cell=8.06 pbc="T T T"
Zr 0.0000 2.4045 0.0000
Zr 2.4045 0.0000 0.0000
Cu 0.0000 0.0000 0.0000
Ni 2.4045 2.4045 2.2508
Pd 0.0000 0.0000 2.2508

=====

(8)
7
Lattice="-2.6577 2.6577 6.8901 2.6577 -2.6577 6.8901 2.6577 2.6577 -6.8901" Properties=species:S:1:pos:R:3 comment="Pm4Cu2Ni | Alexandria | PBE-GGA | relaxed" dos_at_fermi_per_ev_cell=9.24 pbc="T T T"
Pm 2.6577 0.0000 0.0000
Pm 0.0000 0.0000 2.7553
Pm 0.0000 2.6577 0.0000
Pm 0.0000 0.0000 11.0249
Cu 0.0000 0.0000 5.5563
Cu 0.0000 0.0000 8.2239
Ni 0.0000 0.0000 0.0000

=====

(9)
7
Lattice="3.9677 -3.1259 0.0000 3.9677 3.1259 0.0000 -2.9877 0.0000 3.8554" Properties=species:S:1:pos:R:3 comment="PmCu2Ni4 | Alexandria | PBE-GGA | relaxed" relative_energy_kj_per_mol_fu=0 dos_at_fermi_per_ev_cell=8.80 pbc="T T T"
Pm 0.0000 0.0000 0.0000
Cu 3.2210 0.0000 0.9628
Cu 1.7268 0.0000 2.8926
Ni 3.4269 -1.9213 2.6693
Ni 1.5209 1.9213 1.1861
Ni 3.4269 1.9213 2.6693
Ni 1.5209 -1.9213 1.1861

=====

(10)
7
Lattice="-3.4769 3.4769 2.5616 3.4769 -3.4769 2.5616 3.4769 3.4769 -2.5616" Properties=species:S:1:pos:R:3 comment="PmCu2Ni4 | Alexandria | PBE-GGA | relaxed" relative_energy_kj_per_mol_fu=346 dos_at_fermi_per_ev_cell=6.16 pbc="T T T"
Pm 0.0000 0.0000 0.0000
Cu 3.4769 0.0000 1.2808
Cu 0.0000 3.4769 1.2808
Ni 3.4769 1.9178 0.0000
Ni 1.9178 3.4769 0.0000
Ni 1.5591 0.0000 2.5616
Ni 0.0000 1.5591 2.5616

=====

(11)
19
Lattice="4.2598 2.4594 4.1363 -4.2598 2.4594 4.1363 0.0000 -4.9188 4.1363" Properties=species:S:1:pos:R:3 comment="Pm2Cu12Ni5 | Alexandria | PBE-GGA | relaxed" dos_at_fermi_per_ev_cell=11.11 pbc="T T T"
Pm 0.0000 0.0000 2.0885
Pm 0.0000 0.0000 10.3203
Cu 0.0000 -2.4388 3.9791
Cu -2.1120 1.2194 3.9791
Cu -1.2356 -2.1402 6.2044
Cu -2.4713 0.0000 6.2044
Cu -2.1120 -1.2194 8.4297
Cu 1.2356 -2.1402 6.2044
Cu -1.2356 2.1402 6.2044
Cu 2.1120 1.2194 3.9791
Cu 2.4713 0.0000 6.2044
Cu 1.2356 2.1402 6.2044
Cu 2.1120 -1.2194 8.4297
Cu 0.0000 2.4388 8.4297
Ni -2.1299 -1.2297 4.1363
Ni 0.0000 0.0000 4.9820
Ni -2.1299 1.2297 8.2725
Ni 0.0000 2.4594 4.1363
Ni 0.0000 0.0000 7.4268

=====

(12)
9
Lattice="-4.0020 4.0020 1.8609 4.0020 -4.0020 1.8609 4.0020 4.0020 -1.8609" Properties=species:S:1:pos:R:3 comment="PmCu4Ni4 | Alexandria | PBE-GGA | relaxed" dos_at_fermi_per_ev_cell=4.85 pbc="T T T"
Pm 0.0000 0.0000 0.0000
Cu 5.2422 0.0106 0.0000
Cu 0.0106 2.7618 0.0000
Cu 3.9914 1.2402 1.8609
Cu -1.2402 3.9914 1.8609
Ni 2.5640 2.5418 0.0000
Ni 1.4603 -1.4380 1.8609
Ni 2.5418 5.4400 0.0000
Ni 1.4380 1.4603 1.8609

=====

Across the entries above, ΔH_f (0 K) takes the values -1.3, 3.2, 0.6, -0.9, -0.9, 2.4, 3.4, 0.2, -0.9, 2.7, -2.7, 0.1 eV per formula unit, respectively.